(1)
Compound: LaYZnMo2
Source: the Alexandria database
Functional: PBE
Structure: relaxed

* crystal system: tetragonal
* total moment: 0.00 μB/cell

a b c (Å): 4.858 5.410 4.858
angles (deg): 90.00 90.00 90.00
Sites, in units of the cell vectors:
1 La 0.000 0.000 0.000
2 Zn 0.000 0.500 0.000
3 Mo 0.500 0.000 0.000
4 Mo 0.000 0.000 0.500
5 Y 0.500 0.500 0.500



(2)
Compound: LaY2ZrMo
Source: the Alexandria database
Functional: PBE
Structure: relaxed

* crystal system: tetragonal
* total moment: 0.12 μB/cell

a b c (Å): 5.390 5.462 5.390
angles (deg): 90.00 90.00 90.00
Sites, in units of the cell vectors:
1 La 0.000 0.500 0.000
2 Zr 0.000 0.000 0.000
3 Y 0.000 0.000 0.500
4 Y 0.500 0.000 0.000
5 Mo 0.500 0.500 0.500



no.,energy of formation (eV/atom),DOS(E_F) (states/eV/cell),total DFT energy (no corrections) (eV per formula unit)
1,1.403,9.31,-27.3
2,1.445,8.82,-30.0